DFT (PBE-GGA) results for an optimized crystal structure of ZnSiIr2.

Geometry as POSCAR:
```
ZnSiIr2
1.0
2.885 0.000 0.000
0.000 4.898 0.000
0.000 0.000 8.240
Zn Si Ir
2 2 4
direct
0.000 0.000 0.000
0.500 0.500 0.000
0.000 0.000 0.500
0.500 0.500 0.500
0.000 0.500 0.272
0.000 0.500 0.728
0.500 0.000 0.272
0.500 0.000 0.728
```

Properties
E, eV per atom: -6.27
Energy relative to the elements, uncorrected, eV/atom: -0.17
Space-group type: Cmmm